The following is a GGA-PBE calculation of CsFe2HgI6 after structural relaxation, from Alexandria.

Output
As for the density of states at the Fermi level: 12.7 states/eV/cell. The total magnetization comes out at 18.0 Bohr magnetons per cell. Its total energy is -31.4 eV/f.u. The calculation puts the uncorrected formation energy at -0.4062 eV/atom.

Lattice parameters (Å, degrees): 12.029 12.029 7.074 94.19 94.19 92.67
Atoms (fractional coordinates):
Cs 0.225 0.775 0.750
Cs 0.775 0.225 0.250
Fe 0.143 0.293 0.667
Fe 0.293 0.143 0.167
Fe 0.707 0.857 0.833
Fe 0.857 0.707 0.333
Hg 0.385 0.615 0.250
Hg 0.615 0.385 0.750
I 0.053 0.676 0.234
I 0.113 0.234 0.293
I 0.234 0.113 0.793
I 0.284 0.455 0.729
I 0.324 0.947 0.266
I 0.455 0.284 0.229
I 0.545 0.716 0.771
I 0.676 0.053 0.734
I 0.716 0.545 0.271
I 0.766 0.887 0.207
I 0.887 0.766 0.707
I 0.947 0.324 0.766